No. 1
# LiBiN2

Crystalline LiBiN2 at its relaxed geometry (PBE-GGA, the Alexandria database).

It has space group R-3m (No. 166, hexagonal axes), with a = 3.4909 Å, b = 3.4909 Å, c = 16.3432 Å, α = 90.00°, β = 90.00° and γ = 120.00°. The distinct sites, in fractional coordinates, are Li at (0.0000, 0.0000, 0.0000), Bi at (0.0000, 0.0000, 0.5000) and N at (0.0000, 0.0000, 0.3452).

As for the size of the total moment: 0.0 μB per formula unit. As for the electronic total energy: -53.8 eV/cell.

No. 2
# In2GaIO8

Crystalline In2GaIO8 at its relaxed geometry (PBE-GGA, the Alexandria database).

It has space group P2/m (No. 10), with a = 4.8067 Å, b = 6.4662 Å, c = 4.8122 Å, α = 90.00°, β = 93.97° and γ = 90.00°. The distinct sites, in fractional coordinates, are In at (0.0000, 0.2425, 0.0000), Ga at (0.5000, 0.0000, 0.5000), I at (0.5000, 0.5000, 0.5000), O at (0.2110, 0.5000, 0.2079), O at (0.2154, 0.0000, 0.2139) and O at (0.3195, 0.2765, 0.6781).

As for the size of the total moment: 0.0 μB per formula unit. As for the electronic total energy: -62.6 eV/cell.

No. 3
# CoCuSb2

Crystalline CoCuSb2 at its relaxed geometry (PBE-GGA, the Alexandria database).

It has space group P2/m (No. 10), with a = 3.1246 Å, b = 3.1096 Å, c = 7.7766 Å, α = 90.00°, β = 90.13° and γ = 90.00°. The distinct sites, in fractional coordinates, are Co at (0.0000, 0.0000, 0.0000), Cu at (0.5000, 0.0000, 0.5000) and Sb at (0.4982, 0.5000, 0.7898).

As for the size of the total moment: 0.0 μB per formula unit. As for the electronic total energy: -18.5 eV/cell.

No. 4
# TlPd3Se

Crystalline TlPd3Se at its relaxed geometry (PBE-GGA, the Alexandria database).

It has space group P2_1/c (No. 14), with a = 8.1307 Å, b = 5.1913 Å, c = 9.7479 Å, α = 90.00°, β = 115.74° and γ = 90.00°. The distinct sites, in fractional coordinates, are Tl at (0.1546, 0.2221, 0.1046), Pd at (0.0490, 0.6964, 0.2135), Pd at (0.3401, 0.1825, 0.9175), Pd at (0.4169, 0.7480, 0.2405) and Se at (0.3227, 0.6877, 0.9568).

As for the size of the total moment: 0.0 μB per formula unit. As for the electronic total energy: -89.7 eV/cell.

No. 5
# La4CoBi2

Crystalline La4CoBi2 at its relaxed geometry (PBE-GGA, the Alexandria database).

It has space group P2_1/m (No. 11), with a = 6.9148 Å, b = 6.9518 Å, c = 9.9243 Å, α = 90.00°, β = 109.56° and γ = 90.00°. The distinct sites, in fractional coordinates, are La at (0.1890, 0.2500, 0.1012), La at (0.2343, 0.5041, 0.7582), La at (0.2875, 0.7500, 0.4026), Co at (0.0048, 0.7500, 0.1714), Bi at (0.1851, 0.2500, 0.4491) and Bi at (0.3300, 0.7500, 0.0685).

As for the size of the total moment: 0.0 μB per formula unit. For the energy of formation from the pure elements, the calculation gives -0.6233 eV/atom.

No. 6
# EuYGaSn

Crystalline EuYGaSn at its relaxed geometry (PBE-GGA, the Alexandria database).

It has space group F-43m (No. 216), with a = 7.5170 Å, b = 7.5170 Å, c = 7.5170 Å, α = 90.00°, β = 90.00° and γ = 90.00°. The distinct sites, in fractional coordinates, are Eu at (0.0000, 0.0000, 0.0000), Y at (0.0000, 0.0000, 0.5000), Ga at (0.2500, 0.2500, 0.7500) and Sn at (0.2500, 0.2500, 0.2500).

As for the size of the total moment: 7.1 μB per formula unit. For the energy of formation from the pure elements, the calculation gives -0.5501 eV/atom.